The following is a DFT calculation (GGA-PBE) of crystalline Mg3ReIr at its relaxed geometry.

a b c (Å): 4.9025 4.9025 4.9025
angles (deg): 90.00 90.00 90.00
With the nearest neighbours (Å) after each atom.
Sites, in units of the cell vectors:
Mg  0.0000  0.0000  0.5000  2 Re 2.45
Mg  0.0000  0.5000  0.0000  2 Re 2.45
Mg  0.5000  0.0000  0.0000  2 Re 2.45
Re  0.0000  0.0000  0.0000  6 Mg 2.45
Ir  0.5000  0.5000  0.5000  12 Mg 3.47

energy above the most stable polymorph in this dataset	585	meV/atom

The following is a DFT calculation (GGA-PBE) of crystalline Mg3ReIr at its relaxed geometry.

a b c (Å): 4.8480 4.8480 4.8480
angles (deg): 90.00 90.00 90.00
With the nearest neighbours (Å) after each atom.
Sites, in units of the cell vectors:
Mg  0.0000  0.0000  0.5000  2 Ir 2.42
Mg  0.0000  0.5000  0.0000  2 Ir 2.42
Mg  0.5000  0.0000  0.0000  2 Ir 2.42
Re  0.5000  0.5000  0.5000  12 Mg 3.43
Ir  0.0000  0.0000  0.0000  6 Mg 2.42

energy above the most stable polymorph in this dataset	0	meV/atom

The following is a DFT calculation (GGA-PBE) of crystalline MgRe2Ir at its relaxed geometry.

a b c (Å): 9.2452 2.7286 4.9327
angles (deg): 90.00 99.69 90.00
With the nearest neighbours (Å) after each atom.
Sites, in units of the cell vectors:
Mg  0.0000  0.0000  0.0000  3 Ir 2.61-2.74, 2 Mg 2.73, 5 Re 2.80-2.85
Mg  0.5000  0.5000  0.0000  3 Ir 2.61-2.74, 2 Mg 2.73, 5 Re 2.80-2.85
Re  0.2337  0.0000  0.6929  5 Re 2.59-2.77, 4 Ir 2.79-2.86, 1 Mg 2.84
Re  0.4765  0.0000  0.4977  5 Re 2.59-2.77, 2 Ir 2.71, 4 Mg 2.80-2.85
Re  0.7337  0.5000  0.6929  5 Re 2.59-2.77, 4 Ir 2.79-2.86, 1 Mg 2.84
Re  0.9765  0.5000  0.4977  5 Re 2.59-2.77, 2 Ir 2.71, 4 Mg 2.80-2.85
Ir  0.2534  0.5000  0.1919  3 Mg 2.61-2.74, 6 Re 2.71-2.86, 2 Ir 2.73
Ir  0.7534  0.0000  0.1919  3 Mg 2.61-2.74, 6 Re 2.71-2.86, 2 Ir 2.73

calculated total energy	-0.321	hartree per atom